1.
LaNi4P2 GGA-PBE optimized geometry; total magnetization = 0.00 μB per formula unit; crystal system = tetragonal; offset from the most stable computed form = 0.000 kcal/mol of atoms; calculated volume = 194.6 Å³/cell; E_form = -731 meV per atom
1.0
3.6237 0.0000 0.0000
0.0000 7.3278 0.0000
0.0000 0.0000 7.3278
Ni P La
8 4 2
Direct
0.5000 0.4123 0.8413 Ni
0.0000 0.9123 0.6587 Ni
0.0000 0.3413 0.0877 Ni
0.0000 0.6587 0.9123 Ni
0.5000 0.1587 0.5877 Ni
0.0000 0.0877 0.3413 Ni
0.5000 0.5877 0.1587 Ni
0.5000 0.8413 0.4123 Ni
0.0000 0.7784 0.2216 P
0.0000 0.2216 0.7784 P
0.5000 0.2784 0.2784 P
0.5000 0.7216 0.7216 P
0.5000 0.0000 0.0000 La
0.0000 0.5000 0.5000 La

2.
LaNi2P GGA-PBE optimized geometry; total magnetization = 0.00 μB per formula unit; crystal system = orthorhombic; calculated volume = 70.3 Å³/cell; E_form = -224 meV per atom
1.0
0.4167 -4.9466 -0.4427
-3.3718 -3.3251 0.7607
-1.4485 -1.8488 -3.5936
P Ni La
1 2 1
Direct
0.0000 0.0000 0.0000 P
0.5000 0.0000 0.0000 Ni
0.0000 0.5000 0.5000 Ni
0.5000 0.5000 0.5000 La

3.
LaNi3P GGA-PBE optimized geometry; total magnetization = 0.00 μB per formula unit; crystal system = cubic; offset from the most stable computed form = 43.626 kcal/mol of atoms; calculated volume = 101.7 Å³/cell; E_form = 1406 meV per atom
1.0
-0.3785 -4.2869 -1.8082
2.5159 -1.7146 3.5384
-3.9137 -0.6876 2.4495
Ni La P
3 1 1
Direct
0.5000 0.0000 0.0000 Ni
0.0000 0.5000 0.0000 Ni
0.0000 0.0000 0.5000 Ni
0.0000 0.0000 0.0000 La
0.5000 0.5000 0.5000 P

4.
La6Ni6P17 GGA-PBE optimized geometry; total magnetization = 0.00 μB per formula unit; crystal system = cubic; calculated volume = 530.4 Å³/cell; E_form = -925 meV per atom
1.0
-5.2019 4.4609 -5.5727
1.9154 -7.9031 -3.4477
-4.1830 -1.0839 7.7034
Ni P La
6 17 6
Direct
0.2500 0.7500 0.5000 Ni
0.7500 0.2500 0.5000 Ni
0.5000 0.7500 0.2500 Ni
0.7500 0.5000 0.2500 Ni
0.2500 0.5000 0.7500 Ni
0.5000 0.2500 0.7500 Ni
0.3667 0.3667 0.5988 P
0.0000 0.0000 0.0000 P
0.3667 0.5988 0.3667 P
0.0000 0.2321 0.6333 P
0.2321 0.0000 0.6333 P
0.0000 0.6333 0.2321 P
0.2321 0.6333 0.0000 P
0.5723 0.5723 0.5723 P
0.6333 0.0000 0.2321 P
0.0000 0.4277 0.0000 P
0.5988 0.3667 0.3667 P
0.7679 0.7679 0.4012 P
0.0000 0.0000 0.4277 P
0.4012 0.7679 0.7679 P
0.6333 0.2321 0.0000 P
0.4277 0.0000 0.0000 P
0.7679 0.4012 0.7679 P
0.0000 0.7104 0.7104 La
0.7104 0.7104 0.0000 La
0.2896 0.0000 0.2896 La
0.7104 0.0000 0.7104 La
0.0000 0.2896 0.2896 La
0.2896 0.2896 0.0000 La

5.
La2NiP2 GGA-PBE optimized geometry; total magnetization = 0.00 μB per formula unit; crystal system = tetragonal; calculated volume = 252.2 Å³/cell; E_form = -769 meV per atom
1.0
-2.1839 -5.2027 -1.6783
0.1404 -1.8601 5.5835
-6.7548 2.5107 1.0063
La P Ni
4 4 2
Direct
0.0000 0.0000 0.5000 La
0.5000 0.5000 0.5000 La
0.0000 0.5000 0.9277 La
0.5000 0.0000 0.0723 La
0.0000 0.0000 0.0000 P
0.5000 0.0000 0.4493 P
0.5000 0.5000 0.0000 P
0.0000 0.5000 0.5507 P
0.0000 0.5000 0.2624 Ni
0.5000 0.0000 0.7376 Ni

6.
LaNiP2 GGA-PBE optimized geometry; total magnetization = 0.00 μB per formula unit; crystal system = tetragonal; calculated volume = 73.5 Å³/cell; E_form = -335 meV per atom
1.0
4.2909 0.0000 0.0000
0.0000 4.2904 0.0000
0.0000 0.0000 3.9939
P Ni La
2 1 1
Direct
0.0000 0.0000 0.0000 P
0.5000 0.5000 0.0000 P
0.0000 0.5000 0.5000 Ni
0.5000 0.0000 0.5000 La

7.
La2NiP GGA-PBE optimized geometry; total magnetization = 0.00 μB per formula unit; crystal system = tetragonal; calculated volume = 216.3 Å³/cell; E_form = -552 meV per atom
1.0
-6.2958 -3.4263 2.0504
3.1470 -1.9015 6.4855
-2.8574 0.6473 5.8614
P La Ni
2 4 2
Direct
0.2500 0.7500 0.5000 P
0.5000 0.5000 0.0000 P
0.8750 0.8878 0.7500 La
0.1122 0.6250 0.2500 La
0.3750 0.3622 0.7500 La
0.6378 0.1250 0.2500 La
0.0000 0.0000 0.0000 Ni
0.7500 0.2500 0.5000 Ni

8.
La3NiP GGA-PBE optimized geometry; total magnetization = 0.00 μB per formula unit; crystal system = cubic; offset from the most stable computed form = 0.000 kcal/mol of atoms; calculated volume = 149.1 Å³/cell; E_form = -216 meV per atom
1.0
5.3032 0.0000 0.0000
0.0000 5.3032 0.0000
0.0000 0.0000 5.3032
La P Ni
3 1 1
Direct
0.0000 0.0000 0.5000 La
0.0000 0.5000 0.0000 La
0.5000 0.0000 0.0000 La
0.5000 0.5000 0.5000 P
0.0000 0.0000 0.0000 Ni